The following is a PBE calculation of a relaxed Tb4C2N crystal, from the Alexandria database.

a b c (Å): 3.589 3.589 12.489
angles (deg): 81.74 81.74 60.00
Fractional coordinates of all 7 atoms:
C  0.415  0.415  0.754
C  0.585  0.585  0.246
Tb  0.114  0.114  0.659
Tb  0.296  0.296  0.113
Tb  0.704  0.704  0.887
Tb  0.886  0.886  0.341
N  0.000  0.000  0.000

Values from the calculation:
The symmetry is No. 166. The formation energy without anion corrections is -0.655 eV/atom. The volume is 137.4 Å³ per cell. The energy is -49.9 eV/cell.